No. 1
# Li3GaNi

A crystal of Li3GaNi relaxed with PBEsol (meta-GGA SCAN, the Alexandria database).

## Properties
- M_tot: 0.00 μB/f.u.
- Uncorrected energy: -37.85 eV/cell
- ΔH_f (0 K): 0.369 eV/atom

```
5
Lattice="4.397 0.000 0.000 0.000 4.397 0.000 0.000 0.000 4.397" Properties=species:S:1:pos:R:3 pbc="T T T"
Li 0.000 0.000 2.198
Li 0.000 2.198 0.000
Li 2.198 0.000 0.000
Ga 2.198 2.198 2.198
Ni 0.000 0.000 0.000
```

No. 2
# SrLiGaNi2

A crystal of SrLiGaNi2 relaxed with PBEsol (meta-GGA SCAN, the Alexandria database).

## Properties
- M_tot: 0.66 μB/f.u.
- Uncorrected energy: -71.67 eV/cell
- ΔH_f (0 K): 0.337 eV/atom

```
5
Lattice="4.393 0.000 0.000 0.000 4.393 0.000 0.000 0.000 4.403" Properties=species:S:1:pos:R:3 pbc="T T T"
Sr 0.000 0.000 0.000
Li 2.196 2.196 2.201
Ga 2.196 2.196 0.000
Ni 0.000 2.196 2.201
Ni 2.196 0.000 2.201
```

No. 3
# LiGaNi2Te

A crystal of LiGaNi2Te relaxed with PBEsol (meta-GGA SCAN, the Alexandria database).

## Properties
- M_tot: 0.00 μB/f.u.
- Uncorrected energy: -86.93 eV/cell
- Formation energy (no corrections): 280 meV/atom

```
5
Lattice="4.355 0.000 0.000 0.000 4.355 0.000 0.000 0.000 4.458" Properties=species:S:1:pos:R:3 pbc="T T T"
Li 0.000 0.000 0.000
Ga 0.000 0.000 2.229
Ni 0.000 2.178 2.229
Ni 2.178 0.000 2.229
Te 2.178 2.178 0.000
```

No. 4
# LiGaO2

A crystal of LiGaO2 relaxed with PBEsol (meta-GGA SCAN, the Alexandria database).

## Properties
- M_tot: 0.00 μB/f.u.
- Uncorrected energy: -39.91 eV/cell
- Formation energy (no corrections): -2177 meV/atom

```
4
Lattice="1.457 0.841 4.804 -1.457 0.841 4.804 0.000 -1.682 4.804" Properties=species:S:1:pos:R:3 pbc="T T T"
Li 0.000 0.000 0.000
Ga 0.000 0.000 7.205
O 0.000 0.000 3.489
O 0.000 0.000 10.921
```